Here is a geometry-optimized AlSiP2S structure from Alexandria via LeMat-Bulk. Energies are from PBE-GGA.

abc: 4.533 4.533 4.507
angles: 90.00 90.00 90.00
Element x y z (fractional)
S  0.000  0.000  0.500
Al  0.500  0.500  0.500
Si  0.000  0.000  0.000
P  0.000  0.500  0.000
P  0.500  0.000  0.000

Raw formation energy, eV per formula unit: 2.7
E_tot, eV per atom: -4.274
Symmetry: P4/mmm
E above lowest polymorph, eV per atom: 0.000